Entry 1:
DFT (PBE) results for a relaxed structure of NpCoNi.

The energy above the most stable polymorph in this dataset is 0.000 eV per atom.

Lattice parameters (Å, degrees): 2.727 4.229 4.229 120.00 90.00 90.00
Site moments in Bohr magnetons follow the coordinates.
Atoms (fractional coordinates):
Np 0.000 0.000 0.000  -0.42
Ni 0.500 0.667 0.333  0.07
Co 0.500 0.333 0.667  0.22

---

Entry 2:
DFT (PBE) results for a relaxed structure of Li7Tl2Sn2.

Its total energy is -2.534 eV/atom.

Lattice parameters (Å, degrees): 5.893 8.312 5.893 90.00 120.11 90.00
Atoms (fractional coordinates):
Li 0.000 0.303 0.500
Li 0.500 0.697 0.000
Li 0.000 0.697 0.500
Li 0.500 0.303 0.000
Li 0.000 0.000 0.000
Li 0.500 0.806 0.500
Li 0.500 0.194 0.500
Tl 0.754 0.500 0.754
Tl 0.246 0.500 0.246
Sn 0.718 0.000 0.282
Sn 0.282 0.000 0.718

---

Entry 3:
DFT (PBE) results for a relaxed structure of La8Nd3Tl2.

Its total energy is -4.577 eV/atom.

Lattice parameters (Å, degrees): 6.238 9.020 9.111 79.79 64.22 83.96
Atoms (fractional coordinates):
La 0.246 0.248 0.216
La 0.754 0.752 0.784
La 0.865 0.358 0.950
La 0.135 0.642 0.050
La 0.978 0.116 0.654
La 0.603 0.244 0.430
La 0.397 0.756 0.570
La 0.022 0.884 0.346
Nd 0.000 0.500 0.500
Nd 0.315 0.040 0.894
Nd 0.685 0.960 0.106
Tl 0.538 0.597 0.222
Tl 0.462 0.403 0.778

---

Entry 4:
DFT (PBE) results for a relaxed structure of Zr2SiBiSe.

For the energy relative to the elements, uncorrected, the calculation gives 219 meV/atom.

Lattice parameters (Å, degrees): 5.131 4.680 5.131 90.00 90.00 90.00
Atoms (fractional coordinates):
Si 0.000 0.500 0.000
Se 0.000 0.000 0.000
Bi 0.500 0.500 0.500
Zr 0.000 0.000 0.500
Zr 0.500 0.000 0.000

---

Entry 5:
DFT (PBE) results for a relaxed structure of Er2HfCu.

The energy above the most stable polymorph in this dataset is 0.454 eV per atom.

Lattice parameters (Å, degrees): 3.190 3.190 11.055 81.70 81.70 60.00
Atoms (fractional coordinates):
Hf 0.000 0.000 0.000
Cu 0.500 0.500 0.500
Er 0.098 0.098 0.707
Er 0.902 0.902 0.293

---

Entry 6:
DFT (PBE) results for a relaxed structure of Pa2TiAl.

The energy above the most stable polymorph in this dataset is 0.292 eV per atom.

Lattice parameters (Å, degrees): 4.998 4.998 4.998 60.00 60.00 60.00
Atoms (fractional coordinates):
Pa 0.250 0.250 0.250
Pa 0.750 0.750 0.750
Al 0.000 0.000 0.000
Ti 0.500 0.500 0.500

---

Entry 7:
DFT (PBE) results for a relaxed structure of ThSn2Pd8.

The energy above the most stable polymorph in this dataset is 0.000 eV per atom.

Lattice parameters (Å, degrees): 4.201 7.438 7.717 118.81 105.79 90.00
Atoms (fractional coordinates):
Th 0.500 0.000 0.000
Sn 0.178 0.678 0.355
Sn 0.822 0.322 0.645
Pd 0.668 0.898 0.335
Pd 0.332 0.562 0.665
Pd 0.153 0.153 0.306
Pd 0.000 0.290 0.000
Pd 0.847 0.847 0.694
Pd 0.668 0.438 0.335
Pd 0.332 0.102 0.665
Pd 0.000 0.710 0.000

---

Entry 8:
DFT (PBE) results for a relaxed structure of SnGe2Te2Pd7.

For the energy relative to the elements, uncorrected, the calculation gives -373 meV/atom.

Lattice parameters (Å, degrees): 3.970 3.970 15.270 82.54 82.54 90.00
Atoms (fractional coordinates):
Sn 0.000 0.000 0.000
Ge 0.621 0.621 0.759
Ge 0.379 0.379 0.241
Te 0.792 0.792 0.413
Te 0.208 0.208 0.587
Pd 0.500 0.500 0.000
Pd 0.297 0.297 0.404
Pd 0.703 0.703 0.596
Pd 0.930 0.430 0.139
Pd 0.430 0.930 0.139
Pd 0.570 0.070 0.861
Pd 0.070 0.570 0.861

---

Entry 9:
DFT (PBE) results for a relaxed structure of TcMoAs4.

Its total energy is -5.651 eV/atom.

Lattice parameters (Å, degrees): 5.302 5.302 5.302 60.00 60.00 60.00
Site moments in Bohr magnetons follow the coordinates.
Atoms (fractional coordinates):
Tc 0.000 0.000 0.000  1.46
Mo 0.750 0.750 0.750  -0.26
As 0.875 0.375 0.375  0.00
As 0.375 0.375 0.875  0.00
As 0.375 0.875 0.375  0.00
As 0.375 0.375 0.375  0.00

---

Entry 10:
DFT (PBE) results for a relaxed structure of KNa3Mn4Br12.

For the energy relative to the elements, uncorrected, the calculation gives -1019 meV/atom.

Lattice parameters (Å, degrees): 9.583 9.583 9.583 106.06 106.06 106.06
Site moments in Bohr magnetons follow the coordinates.
Atoms (fractional coordinates):
K 0.000 0.000 0.000  0.00
Na 0.557 0.443 0.000  0.00
Na 0.443 0.000 0.557  0.00
Na 0.000 0.557 0.443  0.00
Mn 0.939 0.061 0.500  4.35
Mn 0.061 0.500 0.939  4.35
Mn 0.500 0.939 0.061  4.35
Mn 0.500 0.500 0.500  4.33
Br 0.500 0.342 0.658  0.05
Br 0.903 0.500 0.097  0.06
Br 0.097 0.903 0.500  0.06
Br 0.500 0.097 0.903  0.06
Br 0.337 0.948 0.216  0.05
Br 0.216 0.337 0.948  0.05
Br 0.948 0.216 0.337  0.05
Br 0.663 0.784 0.052  0.05
Br 0.052 0.663 0.784  0.05
Br 0.784 0.052 0.663  0.05
Br 0.658 0.500 0.342  0.05
Br 0.342 0.658 0.500  0.05

---

Entry 11:
DFT (PBE) results for a relaxed structure of BeAgRh2.

Its total energy is -5.136 eV/atom.

Lattice parameters (Å, degrees): 2.818 4.493 4.435 90.00 90.00 90.00
Atoms (fractional coordinates):
Be 0.000 0.500 0.500
Rh 0.000 0.000 0.000
Rh 0.500 0.500 0.000
Ag 0.500 0.000 0.500

---

Entry 12:
DFT (PBE) results for a relaxed structure of Tl2NiRh.

The energy above the most stable polymorph in this dataset is 0.044 eV per atom.

Lattice parameters (Å, degrees): 6.299 6.299 6.299 151.11 140.66 49.54
Atoms (fractional coordinates):
Ni 0.504 0.504 0.000
Rh 0.309 0.809 0.500
Tl 0.978 0.978 0.000
Tl 0.709 0.209 0.500

---

Entry 13:
DFT (PBE) results for a relaxed structure of LaSiAu.

For the energy relative to the elements, uncorrected, the calculation gives -616 meV/atom.

Lattice parameters (Å, degrees): 5.135 4.002 7.371 90.00 110.82 90.00
Atoms (fractional coordinates):
Si 0.779 0.689 0.025
Si 0.521 0.189 0.030
Au 0.568 0.189 0.674
Au 0.927 0.189 0.383
La 0.111 0.689 0.746
La 0.395 0.689 0.311

---

Entry 14:
DFT (PBE) results for a relaxed structure of SrRe3Au.

The energy above the most stable polymorph in this dataset is 1.334 eV per atom.

Lattice parameters (Å, degrees): 4.762 4.762 4.762 90.00 90.00 90.00
Atoms (fractional coordinates):
Re 0.000 0.500 0.000
Re 0.000 0.000 0.500
Re 0.500 0.000 0.000
Au 0.500 0.500 0.500
Sr 0.000 0.000 0.000

---

Entry 15:
DFT (PBE) results for a relaxed structure of PuZr2Sn.

The energy above the most stable polymorph in this dataset is 0.103 eV per atom.

Lattice parameters (Å, degrees): 5.058 5.058 5.057 59.99 59.99 60.00
Site moments in Bohr magnetons follow the coordinates.
Atoms (fractional coordinates):
Sn 0.500 0.500 0.500  -0.09
Zr 0.250 0.250 0.250  0.24
Zr 0.750 0.750 0.750  0.24
Pu 0.000 0.000 0.000  5.45

---

Entry 16:
DFT (PBE) results for a relaxed structure of Th2Co3Ge4Os.

Its total energy is -7.160 eV/atom.

Lattice parameters (Å, degrees): 4.180 4.180 9.766 90.00 90.00 90.00
Atoms (fractional coordinates):
Th 0.500 0.000 0.246
Th 0.000 0.500 0.754
Co 0.000 0.000 0.500
Co 0.500 0.000 0.876
Co 0.000 0.500 0.124
Ge 0.500 0.500 0.000
Ge 0.000 0.000 0.000
Ge 0.500 0.000 0.634
Ge 0.000 0.500 0.366
Os 0.500 0.500 0.500

---

Entry 17:
DFT (PBE) results for a relaxed structure of LaTbCdSn.

Its total energy is -4.155 eV/atom.

Lattice parameters (Å, degrees): 5.436 5.436 5.436 60.00 60.00 60.00
Atoms (fractional coordinates):
Cd 0.750 0.750 0.750
Tb 0.500 0.500 0.500
Sn 0.250 0.250 0.250
La 0.000 0.000 0.000

---

Entry 18:
DFT (PBE) results for a relaxed structure of AlCu5Si2.

The energy above the most stable polymorph in this dataset is 0.000 eV per atom. For the energy relative to the elements, uncorrected, the calculation gives -60 meV/atom.

Lattice parameters (Å, degrees): 3.618 5.287 10.525 90.00 90.00 90.00
Atoms (fractional coordinates):
Al 0.000 0.000 0.500
Al 0.000 0.500 0.000
Cu 0.000 0.000 0.000
Cu 0.000 0.500 0.500
Cu 0.000 0.502 0.752
Cu 0.000 0.498 0.248
Cu 0.000 0.998 0.252
Cu 0.000 0.002 0.748
Cu 0.500 0.252 0.876
Cu 0.500 0.748 0.124
Cu 0.500 0.248 0.376
Cu 0.500 0.752 0.624
Si 0.500 0.264 0.632
Si 0.500 0.736 0.368
Si 0.500 0.236 0.132
Si 0.500 0.764 0.868

---

Entry 19:
DFT (PBE) results for a relaxed structure of Ce3GaSn2.

The energy above the most stable polymorph in this dataset is 0.042 eV per atom.

Lattice parameters (Å, degrees): 4.443 11.893 12.875 90.00 90.00 90.00
Site moments in Bohr magnetons follow the coordinates.
Atoms (fractional coordinates):
Ce 0.250 0.390 0.048  0.90
Ce 0.750 0.610 0.952  0.90
Ce 0.750 0.890 0.452  0.90
Ce 0.250 0.110 0.548  0.90
Ce 0.250 0.716 0.227  0.89
Ce 0.750 0.284 0.773  0.89
Ce 0.750 0.216 0.273  0.89
Ce 0.250 0.784 0.727  0.89
Ce 0.250 0.443 0.379  0.77
Ce 0.750 0.557 0.621  0.77
Ce 0.750 0.943 0.121  0.77
Ce 0.250 0.057 0.879  0.77
Ga 0.250 0.134 0.124  0.00
Ga 0.750 0.866 0.876  0.00
Ga 0.750 0.634 0.376  0.00
Ga 0.250 0.366 0.624  0.00
Sn 0.250 0.698 0.493  -0.01
Sn 0.750 0.302 0.507  -0.01
Sn 0.750 0.198 0.007  -0.01
Sn 0.250 0.802 0.993  -0.01
Sn 0.250 0.000 0.305  -0.04
Sn 0.750 0.000 0.695  -0.04
Sn 0.750 0.500 0.195  -0.04
Sn 0.250 0.500 0.805  -0.04

---

Entry 20:
DFT (PBE) results for a relaxed structure of NbZnCu2.

Its total energy is -4.720 eV/atom.

Lattice parameters (Å, degrees): 3.756 3.933 3.933 90.00 90.00 90.00
Atoms (fractional coordinates):
Nb 0.500 0.000 0.000
Zn 0.500 0.500 0.500
Cu 0.000 0.000 0.500
Cu 0.000 0.500 0.000

---

For reference, volume by record: 14.08, 22.70, 34.93, 24.64, 24.01, 22.08, 18.26, 19.71, 17.57, 37.54, 14.04, 19.05, 23.60, 21.60, 22.87, 17.06, 28.39, 12.58, 28.35, 14.52 A^3/atom.